Compound: PrYZn3
Source: Alexandria via LeMat-Bulk
Functional: PBE-GGA
Structure: optimized geometry

Cell lengths 13.9846, 13.9846, 4.4993 Å; angles 90.00, 90.00, 165.15 degrees
With the nearest neighbours (Å) after each atom.
Positions (direct):
Pr: 0.2074 0.7926 0.7500  6 Zn 3.14-3.16
Pr: 0.7926 0.2074 0.2500  6 Zn 3.14-3.16
Y: 0.0692 0.9308 0.2500  12 Zn 3.12-3.17
Y: 0.9308 0.0692 0.7500  12 Zn 3.12-3.17
Zn: 0.3371 0.6629 0.7500  2 Zn 2.63
Zn: 0.3862 0.6138 0.2500  3 Zn 2.53-2.63
Zn: 0.4775 0.5225 0.2500  3 Zn 2.53-2.57
Zn: 0.5225 0.4775 0.7500  3 Zn 2.53-2.57
Zn: 0.6138 0.3862 0.7500  3 Zn 2.53-2.63
Zn: 0.6629 0.3371 0.2500  2 Zn 2.63

space-group type = Cmcm, No. 63
E_form = -1.66 eV/f.u.
calculated volume = 225.5 Å³/cell


Compound: KCuNiCl5
Source: Alexandria via LeMat-Bulk
Functional: PBE-GGA
Structure: optimized geometry

Cell lengths 6.9803, 6.9803, 8.8452 Å; angles 102.28, 102.28, 108.46 degrees
With the nearest neighbours (Å) after each atom.
Positions (direct):
K: 0.1588 0.8412 0.7500  7 Cl 3.12-3.28
K: 0.8412 0.1588 0.2500  7 Cl 3.12-3.28
Cu: 0.1889 0.8111 0.2500  4 Cl 2.29
Cu: 0.8111 0.1889 0.7500  4 Cl 2.29
Ni: 0.5000 0.5000 0.0000  6 Cl 2.33-2.43
Ni: 0.5000 0.5000 0.5000  6 Cl 2.33-2.43
Cl: 0.1318 0.2633 0.9311  1 Cu 2.29, 1 Ni 2.43
Cl: 0.2154 0.5981 0.4112  1 Cu 2.29, 1 Ni 2.34
Cl: 0.2633 0.1318 0.4311  1 Cu 2.29, 1 Ni 2.43
Cl: 0.4019 0.7846 0.0888  1 Cu 2.29, 1 Ni 2.34
Cl: 0.4365 0.5635 0.7500  2 Ni 2.33
Cl: 0.5635 0.4365 0.2500  2 Ni 2.33
Cl: 0.5981 0.2154 0.9112  1 Cu 2.29, 1 Ni 2.34
Cl: 0.7367 0.8682 0.5689  1 Cu 2.29, 1 Ni 2.43
Cl: 0.7846 0.4019 0.5888  1 Cu 2.29, 1 Ni 2.34
Cl: 0.8682 0.7367 0.0689  1 Cu 2.29, 1 Ni 2.43

space-group type = C2/c, No. 15
E = -27.18 eV per formula unit
calculated volume = 380.8 Å³/cell


Compound: Li2PuFeN4
Source: Alexandria via LeMat-Bulk
Functional: PBE-GGA
Structure: optimized geometry

Cell lengths 4.8411, 4.8411, 4.8411 Å; angles 112.52, 112.52, 103.53 degrees
With the nearest neighbours (Å) after each atom.
Positions (direct):
Li: 0.2500 0.7500 0.5000  4 N 2.02
Li: 0.7500 0.2500 0.5000  4 N 2.02
Pu: 0.0000 0.0000 0.0000  8 N 2.44-2.59
Fe: 0.5000 0.5000 0.0000  4 N 1.74
N: 0.1463 0.5188 0.0000  1 Fe 1.74
N: 0.4812 0.4812 0.6276  1 Fe 1.74
N: 0.5188 0.1463 0.0000  1 Fe 1.74
N: 0.8537 0.8537 0.3724  1 Fe 1.74

space-group type = I-42m, No. 121
E = -62.65 eV per formula unit
calculated volume = 86.6 Å³/cell


Compound: Y2SbCl
Source: Alexandria via LeMat-Bulk
Functional: PBE-GGA
Structure: optimized geometry

Cell lengths 8.1416, 8.1416, 8.1416 Å; angles 133.71, 133.71, 67.54 degrees
With the nearest neighbours (Å) after each atom.
Positions (direct):
Y: 0.0973 0.6250 0.9723  2 Cl 2.73, 2 Sb 2.93
Y: 0.3750 0.3473 0.4723  2 Cl 2.73, 2 Sb 2.93
Y: 0.6527 0.1250 0.0277  2 Cl 2.73, 2 Sb 2.93
Y: 0.8750 0.9027 0.5277  2 Cl 2.73, 2 Sb 2.93
Sb: 0.2500 0.7500 0.5000  4 Y 2.93
Sb: 0.5000 0.5000 0.0000  4 Y 2.93
Cl: 0.0000 0.0000 0.0000  4 Y 2.73
Cl: 0.7500 0.2500 0.5000  4 Y 2.73

space-group type = I-42d, No. 122
E above lowest polymorph = 383 meV per atom
calculated volume = 277.2 Å³/cell


Compound: CePaCd
Source: Alexandria via LeMat-Bulk
Functional: PBE-GGA
Structure: optimized geometry

Cell lengths 7.3346, 6.1363, 5.8666 Å; angles 75.30, 54.02, 50.68 degrees
With the nearest neighbours (Å) after each atom.
Positions (direct):
Ce: 0.1958 0.8042 0.1958  4 Pa 3.12, 2 Ce 3.21, 2 Cd 3.37
Ce: 0.8042 0.1958 0.8042  4 Pa 3.12, 2 Ce 3.21, 2 Cd 3.37
Pa: 0.2500 0.2500 0.2500  2 Pa 3.02, 4 Ce 3.12, 4 Cd 3.19
Pa: 0.7500 0.7500 0.7500  2 Pa 3.02, 4 Ce 3.12, 4 Cd 3.19
Cd: 0.3670 0.3670 0.6330  1 Cd 2.84
Cd: 0.6330 0.6330 0.3670  1 Cd 2.84

space-group type = Fmmm, No. 69
E above lowest polymorph = 149 meV per atom
E_form = 0.63 eV/f.u.
calculated volume = 162.3 Å³/cell


Compound: Cs2Sr2OsO6
Source: Alexandria via LeMat-Bulk
Functional: PBE-GGA
Structure: optimized geometry

Cell lengths 6.0932, 6.0932, 7.1354 Å; angles 97.63, 97.63, 118.73 degrees
With the nearest neighbours (Å) after each atom.
Positions (direct):
Cs: 0.1671 0.8329 0.0000  4 O 2.96-2.98
Cs: 0.8329 0.1671 0.0000  4 O 2.96-2.98
Sr: 0.3365 0.6635 0.5000  6 O 2.51-2.54
Sr: 0.6635 0.3365 0.5000  6 O 2.51-2.54
Os: 0.0000 0.0000 0.5000  6 O 1.98
O: 0.0464 0.3182 0.6578  1 Os 1.98
O: 0.2120 0.2120 0.3348  1 Os 1.98
O: 0.3182 0.0464 0.6578  1 Os 1.98
O: 0.6818 0.9536 0.3422  1 Os 1.98
O: 0.7880 0.7880 0.6652  1 Os 1.98
O: 0.9536 0.6818 0.3422  1 Os 1.98

space-group type = C2/m, No. 12
E = -65.86 eV per formula unit
calculated volume = 224.3 Å³/cell


Compound: Tb4H9
Source: Alexandria via LeMat-Bulk
Functional: PBE-GGA
Structure: optimized geometry

Cell lengths 6.3691, 6.3691, 6.3691 Å; angles 131.80, 131.80, 70.55 degrees
With the nearest neighbours (Å) after each atom.
Positions (direct):
Tb: 0.0000 0.5000 0.5000  8 H 2.26
Tb: 0.2465 0.2465 0.0000  8 H 2.21-2.27
Tb: 0.5000 0.0000 0.5000  8 H 2.26
Tb: 0.7535 0.7535 0.0000  8 H 2.21-2.27
H: 0.0000 0.0000 0.0000  8 H 2.31, 2 Tb 2.56
H: 0.1311 0.1311 0.5162  4 Tb 2.21-2.27, 1 H 2.31
H: 0.1311 0.6150 0.0000  4 Tb 2.21-2.27, 1 H 2.31
H: 0.3850 0.3850 0.5162  4 Tb 2.21-2.27, 1 H 2.31
H: 0.3850 0.8689 0.0000  4 Tb 2.21-2.27, 1 H 2.31
H: 0.6150 0.1311 0.0000  4 Tb 2.21-2.27, 1 H 2.31
H: 0.6150 0.6150 0.4838  4 Tb 2.21-2.27, 1 H 2.31
H: 0.8689 0.3850 0.0000  4 Tb 2.21-2.27, 1 H 2.31
H: 0.8689 0.8689 0.4838  4 Tb 2.21-2.27, 1 H 2.31

space-group type = I4/mmm, No. 139
E = -57.56 eV per formula unit
calculated volume = 140.7 Å³/cell


Compound: Rb2NaTl
Source: Alexandria via LeMat-Bulk
Functional: PBE-GGA
Structure: optimized geometry

Cell lengths 7.6541, 7.6541, 12.7283 Å; angles 109.74, 109.74, 40.85 degrees
With the nearest neighbours (Å) after each atom.
Positions (direct):
Rb: 0.0000 0.0000 0.0000  4 Na 4.41-4.44, 6 Rb 4.56-4.68
Rb: 0.0017 0.0017 0.4984  6 Tl 4.02-4.25
Rb: 0.3379 0.3379 0.1820  1 Tl 3.83, 2 Na 4.25
Rb: 0.6610 0.6610 0.8152  1 Tl 3.83, 3 Na 4.25-4.26
Na: 0.3442 0.3442 0.7147  3 Tl 3.27-3.30
Na: 0.6580 0.6580 0.2873  3 Tl 3.27-3.31
Tl: 0.2589 0.2589 0.4394  2 Tl 3.13, 3 Na 3.27-3.31
Tl: 0.7466 0.7466 0.5624  2 Tl 3.13, 3 Na 3.27-3.30

space-group type = Cm, No. 8
E above lowest polymorph = 0 meV per atom
E_form = -0.07 eV/f.u.
calculated volume = 455.0 Å³/cell


Compound: ReNiMo2
Source: Alexandria via LeMat-Bulk
Functional: PBE-GGA
Structure: optimized geometry

Cell lengths 4.3530, 4.3530, 4.3530 Å; angles 60.00, 60.00, 60.00 degrees
With the nearest neighbours (Å) after each atom.
Positions (direct):
Re: 0.0000 0.0000 0.0000  4 Mo 2.67, 4 Ni 2.67
Ni: 0.7500 0.7500 0.7500  4 Mo 2.67, 4 Re 2.67
Mo: 0.2500 0.2500 0.2500  4 Mo 2.67, 4 Re 2.67
Mo: 0.5000 0.5000 0.5000  4 Ni 2.67, 4 Mo 2.67

space-group type = F-43m, No. 216
E above lowest polymorph = 196 meV per atom
E_form = 0.88 eV/f.u.
calculated volume = 58.3 Å³/cell


Compound: Co2IrCl
Source: Alexandria via LeMat-Bulk
Functional: PBE-GGA
Structure: optimized geometry

Cell lengths 2.8040, 2.9220, 7.0447 Å; angles 90.00, 90.00, 90.00 degrees
With the nearest neighbours (Å) after each atom.
Positions (direct):
Co: 0.0000 0.0000 0.2273  2 Cl 2.38, 4 Ir 2.58
Co: 0.0000 0.0000 0.7727  2 Cl 2.38, 4 Ir 2.58
Ir: 0.5000 0.5000 0.0000  8 Co 2.58, 2 Ir 2.80
Cl: 0.5000 0.0000 0.5000  4 Co 2.38

space-group type = Pmmm, No. 47
E above lowest polymorph = 0 meV per atom
calculated volume = 57.7 Å³/cell


Compound: TlSb2Mo
Source: Alexandria via LeMat-Bulk
Functional: PBE-GGA
Structure: optimized geometry

Cell lengths 10.5296, 10.5296, 10.5296 Å; angles 18.54, 18.54, 18.54 degrees
With the nearest neighbours (Å) after each atom.
Positions (direct):
Tl: 0.0000 0.0000 0.0000  6 Tl 3.39, 6 Sb 3.76
Sb: 0.2301 0.2301 0.2301  3 Mo 2.78
Sb: 0.7699 0.7699 0.7699  3 Mo 2.78
Mo: 0.5000 0.5000 0.5000  6 Sb 2.78

space-group type = R-3m, No. 166
E above lowest polymorph = 29 meV per atom
calculated volume = 103.1 Å³/cell


Compound: YCdHPd2
Source: Alexandria via LeMat-Bulk
Functional: PBE-GGA
Structure: optimized geometry

Cell lengths 4.3146, 4.3146, 4.3452 Å; angles 90.00, 90.00, 90.00 degrees
With the nearest neighbours (Å) after each atom.
Positions (direct):
Y: 0.0000 0.0000 0.0000  2 H 2.17
Cd: 0.5000 0.5000 0.0000  4 Y 3.05, 8 Pd 3.06
H: 0.0000 0.0000 0.5000  4 Pd 2.16, 2 Y 2.17
Pd: 0.0000 0.5000 0.5000  2 H 2.16
Pd: 0.5000 0.0000 0.5000  2 H 2.16

space-group type = P4/mmm, No. 123
E = -23.12 eV per formula unit
calculated volume = 80.9 Å³/cell


Compound: BaCuBBr2
Source: Alexandria via LeMat-Bulk
Functional: PBE-GGA
Structure: optimized geometry

Cell lengths 6.2432, 6.2432, 6.0407 Å; angles 90.00, 90.00, 90.00 degrees
With the nearest neighbours (Å) after each atom.
Positions (direct):
Ba: 0.0000 0.0000 0.0000  2 B 3.02, 4 Br 3.12
Cu: 0.5000 0.5000 0.5000  8 Br 4.34, 4 B 4.41
B: 0.0000 0.0000 0.5000  2 Ba 3.02
Br: 0.0000 0.5000 0.0000  2 Ba 3.12
Br: 0.5000 0.0000 0.0000  2 Ba 3.12

space-group type = P4/mmm, No. 123
E = -12.64 eV per formula unit
calculated volume = 235.5 Å³/cell


Compound: Cs3Rb4ZnH8
Source: Alexandria via LeMat-Bulk
Functional: PBE-GGA
Structure: optimized geometry

Cell lengths 8.5247, 8.5247, 8.3625 Å; angles 119.21, 119.21, 58.78 degrees
With the nearest neighbours (Å) after each atom.
Positions (direct):
Cs: 0.0000 0.0000 0.0000  6 H 3.16-3.18
Cs: 0.0000 0.5000 0.0000  6 H 3.04-3.27
Cs: 0.5000 0.0000 0.0000  6 H 3.04-3.27
Rb: 0.0000 0.0000 0.5000  2 H 2.81
Rb: 0.0000 0.5000 0.5000  4 H 2.88-2.89
Rb: 0.5000 0.0000 0.5000  4 H 2.88-2.89
Rb: 0.5000 0.5000 0.5000  6 H 2.98-3.15
Zn: 0.5000 0.5000 0.0000  4 H 1.85
H: 0.2280 0.2280 0.7137  3 Rb 2.81-2.89, 2 Cs 3.06
H: 0.2583 0.2583 0.2716  3 Rb 2.88-2.98, 3 Cs 3.04-3.18
H: 0.3429 0.6555 0.8420  1 Zn 1.85
H: 0.3445 0.6571 0.1580  1 Zn 1.85
H: 0.6555 0.3429 0.8420  1 Zn 1.85
H: 0.6571 0.3445 0.1580  1 Zn 1.85
H: 0.7417 0.7417 0.7284  3 Rb 2.88-2.98, 3 Cs 3.04-3.18
H: 0.7720 0.7720 0.2863  3 Rb 2.81-2.89, 2 Cs 3.06

space-group type = C2/m, No. 12
E = -34.93 eV per formula unit
calculated volume = 430.6 Å³/cell


Compound: HfVCr
Source: Alexandria via LeMat-Bulk
Functional: PBE-GGA
Structure: optimized geometry

Cell lengths 5.3811, 5.3811, 5.2876 Å; angles 90.55, 90.55, 39.52 degrees
With the nearest neighbours (Å) after each atom.
Positions (direct):
Hf: 0.0000 0.0000 0.0000  5 V 2.86-3.07, 4 Cr 2.99-3.11
Hf: 0.5737 0.5737 0.4970  6 Cr 2.83-3.14, 5 V 3.00-3.15
V: 0.2936 0.2936 0.7447  3 Cr 2.36-2.60, 2 V 2.41
V: 0.7177 0.7177 0.0049  2 Cr 2.36, 2 V 2.41
Cr: 0.2904 0.2904 0.2525  2 Cr 2.29, 2 V 2.36
Cr: 0.8533 0.8533 0.4873  2 Cr 2.29, 2 V 2.36

space-group type = Cm, No. 8
E above lowest polymorph = 161 meV per atom
E_form = 0.26 eV/f.u.
calculated volume = 97.4 Å³/cell


Compound: PmGaCo4
Source: Alexandria via LeMat-Bulk
Functional: PBE-GGA
Structure: optimized geometry

Cell lengths 4.9565, 4.9565, 4.9565 Å; angles 60.00, 60.00, 60.00 degrees
With the nearest neighbours (Å) after each atom.
Positions (direct):
Pm: 0.0000 0.0000 0.0000  12 Co 2.91, 4 Ga 3.04
Ga: 0.7500 0.7500 0.7500  12 Co 2.90, 4 Pm 3.04
Co: 0.3764 0.3764 0.3764  6 Co 2.45-2.51
Co: 0.3764 0.3764 0.8707  6 Co 2.45-2.51
Co: 0.3764 0.8707 0.3764  6 Co 2.45-2.51
Co: 0.8707 0.3764 0.3764  6 Co 2.45-2.51

space-group type = F-43m, No. 216
E above lowest polymorph = 0 meV per atom
E_form = -0.57 eV/f.u.
calculated volume = 86.1 Å³/cell


Compound: Ca2OsRu2
Source: Alexandria via LeMat-Bulk
Functional: PBE-GGA
Structure: optimized geometry

Cell lengths 6.4702, 6.4702, 4.8376 Å; angles 90.00, 90.00, 90.00 degrees
With the nearest neighbours (Å) after each atom.
Positions (direct):
Ca: 0.1809 0.3191 0.0000  6 Ru 2.96-3.17, 1 Ca 3.31
Ca: 0.3191 0.8191 0.0000  6 Ru 2.96-3.17, 1 Ca 3.31
Ca: 0.6809 0.1809 0.0000  6 Ru 2.96-3.17, 1 Ca 3.31
Ca: 0.8191 0.6809 0.0000  6 Ru 2.96-3.17, 1 Ca 3.31
Os: 0.0000 0.0000 0.5000  4 Ru 2.53
Os: 0.5000 0.5000 0.5000  4 Ru 2.53
Ru: 0.1318 0.6318 0.5000  1 Ru 2.41, 2 Os 2.53
Ru: 0.3682 0.1318 0.5000  1 Ru 2.41, 2 Os 2.53
Ru: 0.6318 0.8682 0.5000  1 Ru 2.41, 2 Os 2.53
Ru: 0.8682 0.3682 0.5000  1 Ru 2.41, 2 Os 2.53

space-group type = P4/mbm, No. 127
E_form = 0.89 eV/f.u.
calculated volume = 202.5 Å³/cell


Compound: TaTiBeAu2
Source: Alexandria via LeMat-Bulk
Functional: PBE-GGA
Structure: optimized geometry

Cell lengths 4.2899, 4.2899, 4.5371 Å; angles 90.00, 90.00, 90.00 degrees
With the nearest neighbours (Å) after each atom.
Positions (direct):
Ta: 0.0000 0.0000 0.0000  2 Be 2.27
Ti: 0.5000 0.5000 0.0000  4 Ta 3.03, 8 Au 3.12
Be: 0.0000 0.0000 0.5000  4 Au 2.14, 2 Ta 2.27
Au: 0.0000 0.5000 0.5000  2 Be 2.14
Au: 0.5000 0.0000 0.5000  2 Be 2.14

space-group type = P4/mmm, No. 123
E_form = 1.24 eV/f.u.
calculated volume = 83.5 Å³/cell


Compound: K4Ce3PrSe8
Source: Alexandria via LeMat-Bulk
Functional: PBE-GGA
Structure: optimized geometry

Cell lengths 9.1947, 9.1947, 9.1947 Å; angles 56.93, 56.93, 56.93 degrees
With the nearest neighbours (Å) after each atom.
Positions (direct):
K: 0.0000 0.0000 0.0000  6 Se 3.36
K: 0.0000 0.5000 0.5000  6 Se 3.37
K: 0.5000 0.0000 0.5000  6 Se 3.37
K: 0.5000 0.5000 0.0000  6 Se 3.37
Ce: 0.0000 0.0000 0.5000  6 Se 3.00
Ce: 0.0000 0.5000 0.0000  6 Se 3.00
Ce: 0.5000 0.0000 0.0000  6 Se 3.00
Pr: 0.5000 0.5000 0.5000  6 Se 3.01
Se: 0.2354 0.7376 0.7376  2 Ce 3.00, 1 Pr 3.01
Se: 0.2364 0.2364 0.2364  3 Ce 3.00
Se: 0.2624 0.2624 0.7646  2 Ce 3.00, 1 Pr 3.01
Se: 0.2624 0.7646 0.2624  2 Ce 3.00, 1 Pr 3.01
Se: 0.7376 0.2354 0.7376  2 Ce 3.00, 1 Pr 3.01
Se: 0.7376 0.7376 0.2354  2 Ce 3.00, 1 Pr 3.01
Se: 0.7636 0.7636 0.7636  3 Ce 3.00
Se: 0.7646 0.2624 0.2624  2 Ce 3.00, 1 Pr 3.01

space-group type = R-3m, No. 166
E = -82.11 eV per formula unit
calculated volume = 510.7 Å³/cell


Compound: KBTeI2
Source: Alexandria via LeMat-Bulk
Functional: PBE-GGA
Structure: optimized geometry

Cell lengths 6.1013, 6.1013, 4.4754 Å; angles 90.00, 90.00, 90.00 degrees
With the nearest neighbours (Å) after each atom.
Positions (direct):
K: 0.0000 0.0000 0.0000  8 I 3.78
B: 0.5000 0.5000 0.5000  2 Te 2.24
Te: 0.5000 0.5000 0.0000  2 B 2.24
I: 0.0000 0.5000 0.5000  2 B 3.05
I: 0.5000 0.0000 0.5000  2 B 3.05

space-group type = P4/mmm, No. 123
E above lowest polymorph = 0 meV per atom
calculated volume = 166.6 Å³/cell


Q: Which DOS at the Fermi energy values were calculated for the entries above? A: 4.09, 2.74, 7.95, 2.86, 6.06, 7.86, 2.50, 1.96, 5.59, 6.71, 4.48, 3.58, 1.98, 2.38, 4.13, 8.72, 3.70, 4.71, 18.32, 3.64, in states/eV/f.u..